1.
## Ce2Si3Ge (PBE)

Data for Ce2Si3Ge after structural relaxation.

Cell: 4.1058 4.1258 7.1694 Å, 90.00 90.00 90.00°
Closest atoms and distances in Å follow each position.
Positions (direct):
Ce 0.0000 0.5000 0.9962  10 Si 3.09-3.14, 2 Ge 3.19
Ce 0.0000 0.0000 0.5049  8 Si 3.11-3.23, 4 Ge 3.15
Si 0.5000 0.5000 0.6749  2 Si 2.35, 1 Ge 2.43
Si 0.5000 0.0000 0.1572  1 Si 2.34, 2 Ge 2.43
Si 0.5000 0.0000 0.8309  3 Si 2.34-2.35
Ge 0.5000 0.5000 0.3360  3 Si 2.43

energy above the lowest structure with this stoichiometry = 3 meV per atom
VASP energy = -36.5 eV per formula unit

---

2.
## Ce5Si2Ge5 (PBE)

Data for Ce5Si2Ge5 after structural relaxation.

Cell: 4.0903 7.7755 12.0717 Å, 130.60 90.00 105.25°
Closest atoms and distances in Å follow each position.
Positions (direct):
Ge 0.7576 0.5151 0.8200  2 Si 2.45, 1 Ge 2.70
Ge 0.9295 0.8590 0.6295  1 Si 2.44
Ge 0.0000 0.0000 0.0000  2 Ge 2.70
Ge 0.0705 0.1410 0.3705  1 Si 2.44
Ge 0.2424 0.4849 0.1800  2 Si 2.45, 1 Ge 2.70
Si 0.1440 0.2881 0.7635  3 Ge 2.44-2.45
Si 0.8560 0.7119 0.2365  3 Ge 2.44-2.45
Ce 0.3946 0.7891 0.0842  3 Si 3.06-3.08, 7 Ge 3.12-3.28, 1 Ce 3.26
Ce 0.6887 0.3774 0.3137  5 Ge 3.00-3.07, 1 Si 3.21, 1 Ce 3.26
Ce 0.3113 0.6226 0.6863  5 Ge 3.00-3.07, 1 Si 3.21, 1 Ce 3.26
Ce 0.6054 0.2109 0.9158  3 Si 3.06-3.08, 7 Ge 3.12-3.28, 1 Ce 3.26
Ce 0.5000 0.0000 0.5000  4 Si 3.11, 6 Ge 3.12-3.16

VASP energy = -71.6 eV per formula unit

---

3.
## Ce8Si4Ge3 (PBE)

Data for Ce8Si4Ge3 after structural relaxation.

Cell: 8.3733 8.3908 8.3908 Å, 90.01 119.91 119.91°
Closest atoms and distances in Å follow each position.
Positions (direct):
Ce 0.0026 0.7538 0.7538  4 Si 2.94-2.97, 1 Ge 2.98
Ce 0.5000 0.2490 0.7510  3 Si 2.95-2.97, 3 Ge 2.97-2.98
Ce 0.0000 0.2474 0.7526  3 Si 2.94-2.97, 2 Ge 2.97
Ce 0.4941 0.2457 0.2457  2 Si 2.93-2.95, 3 Ge 2.97-2.98
Ce 0.0000 0.7526 0.2474  3 Si 2.94-2.97, 2 Ge 2.97
Ce 0.5059 0.7543 0.7543  2 Si 2.93-2.95, 3 Ge 2.97-2.98
Ce 0.5000 0.7510 0.2490  3 Si 2.95-2.97, 3 Ge 2.97-2.98
Ce 0.9974 0.2462 0.2462  4 Si 2.94-2.97, 1 Ge 2.98
Ge 0.5000 0.5000 0.0000  6 Ce 2.97
Ge 0.5000 0.5000 0.5000  6 Ce 2.98
Ge 0.5000 0.0000 0.5000  6 Ce 2.97
Si 0.5000 0.0000 0.0000  6 Ce 2.95
Si 0.0000 0.0000 0.0000  6 Ce 2.93-2.94
Si 0.0000 0.5000 0.0000  6 Ce 2.97
Si 0.0000 0.0000 0.5000  6 Ce 2.97

VASP energy = -90.0 eV per formula unit

---

4.
## Ce3Si2Ge2 (PBE)

Data for Ce3Si2Ge2 after structural relaxation.

Cell: 4.1090 5.7708 8.1583 Å, 117.12 90.00 110.86°
Closest atoms and distances in Å follow each position.
Positions (direct):
Ce 0.6550 0.3101 0.6327  5 Ge 2.97-3.22, 1 Ce 2.97, 3 Si 3.06-3.10
Ce 0.5000 0.0000 0.0000  6 Si 3.06-3.17, 4 Ge 3.12
Ce 0.3450 0.6899 0.3673  5 Ge 2.97-3.22, 1 Ce 2.97, 3 Si 3.06-3.10
Ge 0.0530 0.1059 0.3152  1 Si 2.44
Ge 0.9470 0.8941 0.6848  1 Si 2.44
Si 0.1945 0.3889 0.9316  2 Si 2.37, 1 Ge 2.44
Si 0.8056 0.6111 0.0684  2 Si 2.37, 1 Ge 2.44

energy above the lowest structure with this stoichiometry = 0 meV per atom
VASP energy = -42.8 eV per formula unit

---

5.
## CeSiGe (PBE)

Data for CeSiGe after structural relaxation.

Cell: 8.0634 8.0634 8.0634 Å, 150.49 150.66 42.10°
Closest atoms and distances in Å follow each position.
Positions (direct):
Si 0.0372 0.2872 0.7500  2 Si 2.34, 1 Ge 2.46
Si 0.9628 0.7128 0.2500  2 Si 2.34, 1 Ge 2.46
Ge 0.2004 0.4504 0.7500  1 Si 2.46, 2 Ge 2.53
Ge 0.7996 0.5496 0.2500  1 Si 2.46, 2 Ge 2.53
Ce 0.3802 0.1302 0.2500  6 Si 3.12-3.15, 6 Ge 3.14-3.40
Ce 0.6198 0.8698 0.7500  6 Si 3.12-3.15, 6 Ge 3.14-3.40

energy above the lowest structure with this stoichiometry = 0 meV per atom
VASP energy = -17.8 eV per formula unit

---

6.
## Ce2SiGe (PBE)

Data for Ce2SiGe after structural relaxation.

Cell: 3.2895 3.2895 8.2394 Å, 90.00 90.00 90.00°
Closest atoms and distances in Å follow each position.
Positions (direct):
Ce 0.0000 0.0000 0.2434  4 Si 3.07, 4 Ge 3.14, 4 Ce 3.29
Ce 0.0000 0.0000 0.7566  4 Si 3.07, 4 Ge 3.14, 4 Ce 3.29
Ge 0.5000 0.5000 0.5000  8 Ce 3.14, 4 Ge 3.29
Si 0.5000 0.5000 0.0000  8 Ce 3.07, 4 Si 3.29

VASP energy = -24.2 eV per formula unit

---

7.
## Ce4SiGe3 (PBE)

Data for Ce4SiGe3 after structural relaxation.

Cell: 4.4357 3.9988 10.9809 Å, 90.00 90.00 90.00°
Closest atoms and distances in Å follow each position.
Positions (direct):
Ge 0.0000 0.5000 0.5807  2 Ge 2.67
Ge 0.5000 0.0000 0.9246  2 Si 2.61
Ge 0.0000 0.0000 0.4196  2 Ge 2.67
Ce 0.0000 0.0000 0.1385  4 Si 3.06, 3 Ge 3.09-3.23
Ce 0.0000 0.5000 0.8622  5 Ge 3.06-3.09, 2 Si 3.24
Ce 0.5000 0.0000 0.6399  7 Ge 3.06-3.28
Ce 0.5000 0.5000 0.3576  6 Ge 3.06-3.30, 1 Si 3.08
Si 0.5000 0.5000 0.0769  2 Ge 2.61

VASP energy = -48.5 eV per formula unit

---

8.
## CeSiGe (PBE)

Data for CeSiGe after structural relaxation.

Cell: 7.9419 7.9419 7.9419 Å, 149.86 149.86 43.14°
Closest atoms and distances in Å follow each position.
Positions (direct):
Ge 0.1650 0.1650 0.0000  3 Si 2.42-2.44
Ge 0.9150 0.4150 0.5000  3 Si 2.42-2.44
Si 0.7500 0.2500 0.5000  3 Ge 2.42-2.44
Si 0.0000 0.0000 0.0000  3 Ge 2.42-2.44
Ce 0.5820 0.5820 0.0000  6 Si 3.16-3.23, 6 Ge 3.17-3.22
Ce 0.3320 0.8320 0.5000  6 Si 3.16-3.23, 6 Ge 3.17-3.22

energy above the lowest structure with this stoichiometry = 23 meV per atom
VASP energy = -17.7 eV per formula unit

---

9.
## Ce2Si3Ge (PBE)

Data for Ce2Si3Ge after structural relaxation.

Cell: 9.2098 9.2098 10.8926 Å, 47.77 158.42 134.03°
Closest atoms and distances in Å follow each position.
Positions (direct):
Ge 0.1549 0.4049 0.7500  1 Si 2.39, 2 Ge 2.47
Ge 0.8451 0.5951 0.2500  1 Si 2.39, 2 Ge 2.47
Si 0.6679 0.6655 0.5007  3 Si 2.38-2.39
Si 0.8229 0.0729 0.7500  2 Si 2.31, 1 Ge 2.39
Si 0.6648 0.1672 0.9993  3 Si 2.38-2.39
Si 0.3352 0.8328 0.0007  3 Si 2.38-2.39
Si 0.1771 0.9271 0.2500  2 Si 2.31, 1 Ge 2.39
Si 0.3321 0.3345 0.4993  3 Si 2.38-2.39
Ce 0.2497 0.8816 0.6227  9 Si 3.10-3.19, 3 Ge 3.15-3.27
Ce 0.2411 0.3731 0.1227  9 Si 3.10-3.19, 3 Ge 3.15-3.27
Ce 0.7589 0.6269 0.8773  9 Si 3.10-3.19, 3 Ge 3.15-3.27
Ce 0.7503 0.1184 0.3773  9 Si 3.10-3.19, 3 Ge 3.15-3.27

energy above the lowest structure with this stoichiometry = 0 meV per atom
VASP energy = -36.5 eV per formula unit

---

10.
## Ce10Si3Ge3 (PBE)

Data for Ce10Si3Ge3 after structural relaxation.

Cell: 6.1736 8.8025 8.8025 Å, 120.00 90.00 90.00°
Closest atoms and distances in Å follow each position.
Positions (direct):
Ce 0.5000 0.2702 0.2702  3 Ge 2.99-3.07, 2 Si 3.23
Ce 0.0000 0.0000 0.2638  3 Si 2.95-3.16, 2 Ge 3.25
Ce 0.7772 0.3333 0.6667  1 Ce 2.75
Ce 0.7772 0.6667 0.3333  1 Ce 2.75
Ce 0.0000 0.2638 0.0000  3 Si 2.95-3.16, 2 Ge 3.25
Ce 0.5000 0.0000 0.7298  3 Ge 2.99-3.07, 2 Si 3.23
Ce 0.2228 0.3333 0.6667  1 Ce 2.75
Ce 0.2228 0.6667 0.3333  1 Ce 2.75
Ce 0.5000 0.7298 0.0000  3 Ge 2.99-3.07, 2 Si 3.23
Ce 0.0000 0.7362 0.7362  3 Si 2.95-3.16, 2 Ge 3.25
Ge 0.5000 0.0000 0.3807  9 Ce 2.99-3.25
Ge 0.5000 0.6193 0.6193  9 Ce 2.99-3.25
Ge 0.5000 0.3807 0.0000  9 Ce 2.99-3.25
Si 0.0000 0.6223 0.0000  9 Ce 2.95-3.23
Si 0.0000 0.3777 0.3777  9 Ce 2.95-3.23
Si 0.0000 0.0000 0.6223  9 Ce 2.95-3.23

VASP energy = -98.2 eV per formula unit

---

11.
## Ce5Si5Ge2 (PBE)

Data for Ce5Si5Ge2 after structural relaxation.

Cell: 4.0720 7.6479 9.0532 Å, 81.18 77.00 74.56°
Closest atoms and distances in Å follow each position.
Positions (direct):
Ce 0.3740 0.9462 0.3059  5 Si 2.97-3.02, 1 Ce 2.99, 1 Ge 3.19
Ce 0.6884 0.7142 0.9091  1 Ce 2.99, 3 Ge 3.05-3.07, 7 Si 3.07-3.24
Ce 0.6260 0.0538 0.6941  5 Si 2.97-3.02, 1 Ce 2.99, 1 Ge 3.19
Ce 0.0000 0.5000 0.5000  4 Ge 3.10, 6 Si 3.13-3.15
Ce 0.3116 0.2858 0.0909  1 Ce 2.99, 3 Ge 3.05-3.07, 7 Si 3.07-3.24
Si 0.9381 0.2936 0.8302  2 Ge 2.45, 1 Si 2.51
Si 0.0000 0.0000 0.0000  2 Si 2.51
Si 0.6977 0.2285 0.3761  1 Ge 2.44
Si 0.3023 0.7715 0.6239  1 Ge 2.44
Si 0.0619 0.7064 0.1698  2 Ge 2.45, 1 Si 2.51
Ge 0.6176 0.5306 0.2342  3 Si 2.44-2.45
Ge 0.3824 0.4694 0.7658  3 Si 2.44-2.45

VASP energy = -73.1 eV per formula unit

---

One value per record, in order, for DOS(E_F): 6.53 22.67 25.08 11.91 8.86 7.77 22.33 9.03 12.87 43.57 20.62 states/eV per cell.